No. 1
LaDySn2Pd4 | OQMD via LeMat-Bulk | PBE-GGA | relaxed; electronic total energy = -5.650 eV per atom; mass density = 9.4 Mg/m³
1.0
-3.208 -3.050 1.356
4.129 0.099 2.090
-3.211 6.071 6.057
Dy La Pd Sn
1 1 4 2
Cartesian
0.000 0.000 0.000
0.078 2.084 4.874
1.169 0.021 2.815
-1.043 1.972 1.968
-2.168 4.098 4.089
-1.013 4.148 6.932
-1.520 -0.567 3.030
-3.215 2.637 6.228



No. 2
LaPmDy | OQMD via LeMat-Bulk | PBE-GGA | relaxed; formation energy from the elements = 671 meV per atom; mass density = 6.1 Mg/m³
1.0
0.000 3.923 3.923
3.923 0.000 3.923
3.923 3.923 0.000
Dy La Pm
1 1 1
Cartesian
0.000 0.000 0.000
1.962 1.962 1.962
5.885 5.885 5.885



No. 3
LaPrDy | OQMD via LeMat-Bulk | PBE-GGA | relaxed; formation energy from the elements = 704 meV per atom; mass density = 6.1 Mg/m³
1.0
0.000 3.924 3.924
3.924 0.000 3.924
3.924 3.924 0.000
Dy La Pr
1 1 1
Cartesian
1.962 1.962 1.962
5.885 5.885 5.885
0.000 0.000 0.000



No. 4
LaDySn2Pt4 | OQMD via LeMat-Bulk | PBE-GGA | relaxed; electronic total energy = -6.195 eV per atom; mass density = 12.8 Mg/m³
1.0
4.610 0.000 0.000
-2.305 3.992 0.000
0.000 0.000 9.284
Dy La Pt Sn
1 1 4 2
Cartesian
0.000 0.000 0.000
0.000 2.661 4.642
0.000 2.661 1.444
0.000 0.000 3.044
0.000 0.000 6.240
0.000 2.661 7.840
2.305 1.331 2.238
2.305 1.331 7.046



No. 5
La4Dy11S22 | OQMD via LeMat-Bulk | PBE-GGA | relaxed; electronic total energy = -6.492 eV per atom; mass density = 5.7 Mg/m³
1.0
19.672 -1.992 0.000
19.672 1.992 0.000
-0.330 0.000 11.420
Dy La S
11 4 22
Cartesian
36.532 0.000 1.587
28.934 0.000 1.693
13.394 0.000 2.287
21.088 0.000 2.630
7.822 0.000 5.035
-0.165 0.000 5.710
31.191 0.000 6.384
17.926 0.000 8.790
25.619 0.000 9.133
10.079 0.000 9.727
2.482 0.000 9.833
24.849 0.000 1.734
35.069 0.000 5.586
3.945 0.000 5.834
14.165 0.000 9.686
21.913 0.000 0.096
33.993 0.000 0.541
10.993 0.000 1.018
7.387 0.000 2.177
3.361 0.000 2.890
38.937 0.000 2.972
15.922 0.000 3.291
32.587 0.000 3.993
29.198 0.000 4.350
25.445 0.000 4.653
21.362 0.000 5.362
17.652 0.000 6.057
13.568 0.000 6.766
9.816 0.000 7.069
6.427 0.000 7.427
23.091 0.000 8.129
0.077 0.000 8.448
35.653 0.000 8.529
31.626 0.000 9.243
28.021 0.000 10.401
5.021 0.000 10.879
17.100 0.000 11.324



No. 6
LaDyS3 | OQMD via LeMat-Bulk | PBE-GGA | relaxed; electronic total energy = -6.530 eV per atom; mass density = 5.7 Mg/m³
1.0
7.451 0.000 0.000
0.000 4.053 0.000
0.000 0.000 15.435
Dy La S
4 4 12
Cartesian
2.015 1.013 0.671
5.741 1.013 7.046
1.710 3.040 8.389
5.435 3.040 14.764
6.383 3.040 3.090
2.658 3.040 4.628
4.793 1.013 10.807
1.067 1.013 12.345
6.509 1.013 0.933
3.636 3.040 1.606
1.125 1.013 3.317
4.850 1.013 4.401
7.362 3.040 6.112
2.784 1.013 6.784
4.667 3.040 8.651
0.089 1.013 9.323
2.600 3.040 11.034
6.326 3.040 12.118
3.814 1.013 13.829
0.941 3.040 14.502